First-principles (PBE) data for a relaxed Pm2Nd crystal, as listed in Alexandria via LeMat-Bulk.

Cell: 6.7169 6.7169 6.7169 Å, 60.00 60.00 60.00°
With the nearest neighbours (Å) after each atom.
Fractional positions:
Nd (0.0000, 0.0000, 0.0000)  12 Pm 3.94, 4 Nd 4.11
Nd (0.2500, 0.2500, 0.2500)  12 Pm 3.94, 4 Nd 4.11
Pm (0.1250, 0.6250, 0.6250)  6 Pm 3.36
Pm (0.6250, 0.1250, 0.6250)  6 Pm 3.36
Pm (0.6250, 0.6250, 0.6250)  6 Pm 3.36
Pm (0.6250, 0.6250, 0.1250)  6 Pm 3.36

## Properties
* total magnetic moment: 0.00 μB/cell
* formation energy: 0.26 eV/atom
* energy above the lowest structure with this stoichiometry: 245.2 meV per atom
* N(E_F): 10.96 states/eV/cell
* space-group type: No. 227

First-principles (PBE) data for a relaxed Nd3Dy2 crystal, as listed in Alexandria via LeMat-Bulk.

Cell: 5.1275 6.2692 6.2947 Å, 80.42 65.97 65.86°
With the nearest neighbours (Å) after each atom.
Fractional positions:
Nd (0.7996, 0.2986, 0.1022)  6 Dy 3.61-3.64, 6 Nd 3.61-3.65
Nd (0.0000, 0.5000, 0.5000)  6 Dy 3.61-3.63, 6 Nd 3.62-3.65
Nd (0.2004, 0.7014, 0.8978)  6 Dy 3.61-3.64, 6 Nd 3.61-3.65
Dy (0.3992, 0.9017, 0.2999)  9 Nd 3.61-3.64, 3 Dy 3.62-3.63
Dy (0.6008, 0.0983, 0.7001)  9 Nd 3.61-3.64, 3 Dy 3.62-3.63

## Properties
* total magnetic moment: 0.00 μB/cell
* formation energy: 0.02 eV/atom
* N(E_F): 7.36 states/eV/cell
* space-group type: No. 12

First-principles (PBE) data for a relaxed MgZrSe2Br crystal, as listed in Alexandria via LeMat-Bulk.

Cell: 5.2540 5.2540 5.3042 Å, 90.00 90.00 90.00°
With the nearest neighbours (Å) after each atom.
Fractional positions:
Mg (0.5000, 0.5000, 0.5000)  4 Br 3.72, 8 Se 3.73
Se (0.0000, 0.5000, 0.0000)  2 Zr 2.63
Se (0.5000, 0.0000, 0.0000)  2 Zr 2.63
Br (0.0000, 0.0000, 0.5000)  2 Zr 2.65
Zr (0.0000, 0.0000, 0.0000)  4 Se 2.63, 2 Br 2.65

## Properties
* total magnetic moment: 0.29 μB/cell
* energy above the lowest structure with this stoichiometry: 0.0 meV per atom
* N(E_F): 2.58 states/eV/cell
* space-group type: No. 123
* energy relative to the elements, uncorrected: -674 meV per atom

First-principles (PBE) data for a relaxed MnBTeAu crystal, as listed in Alexandria via LeMat-Bulk.

Cell: 3.3025 3.3025 21.1989 Å, 90.00 90.00 120.00°
With the nearest neighbours (Å) after each atom.
Fractional positions:
B (0.0000, 0.0000, 0.7383)  3 Mn 2.16, 3 Au 2.42
B (0.3333, 0.6667, 0.4050)  3 Mn 2.16, 3 Au 2.42
B (0.6667, 0.3333, 0.0717)  3 Mn 2.16, 3 Au 2.42
Te (0.0000, 0.0000, 0.2061)  3 Mn 2.65, 1 Au 2.73
Te (0.3333, 0.6667, 0.8728)  3 Mn 2.65, 1 Au 2.73
Te (0.6667, 0.3333, 0.5395)  3 Mn 2.65, 1 Au 2.73
Au (0.0000, 0.0000, 0.3347)  3 B 2.42, 1 Mn 2.51
Au (0.3333, 0.6667, 0.0014)  3 B 2.42, 1 Mn 2.51
Au (0.6667, 0.3333, 0.6680)  3 B 2.42, 1 Mn 2.51
Mn (0.0000, 0.0000, 0.4530)  3 B 2.16
Mn (0.3333, 0.6667, 0.1197)  3 B 2.16
Mn (0.6667, 0.3333, 0.7863)  3 B 2.16

## Properties
* total magnetic moment: 5.66 μB/cell
* energy above the lowest structure with this stoichiometry: 116.7 meV per atom
* N(E_F): 7.83 states/eV/cell
* space-group type: No. 160
* energy relative to the elements, uncorrected: 324 meV per atom

First-principles (PBE) data for a relaxed Pm2SnRh crystal, as listed in Alexandria via LeMat-Bulk.

Cell: 4.0064 6.3764 9.0453 Å, 112.58 90.00 90.00°
With the nearest neighbours (Å) after each atom.
Fractional positions:
Pm (0.7500, 0.2204, 0.3938)  2 Rh 2.88
Pm (0.2500, 0.7796, 0.6062)  2 Rh 2.88
Pm (0.2500, 0.7870, 0.0471)  3 Rh 2.89-3.15
Pm (0.7500, 0.2130, 0.9529)  3 Rh 2.89-3.15
Sn (0.7500, 0.6666, 0.2959)  2 Rh 2.86
Sn (0.2500, 0.3334, 0.7041)  2 Rh 2.86
Rh (0.2500, 0.3210, 0.2022)  2 Sn 2.86, 5 Pm 2.88-3.15
Rh (0.7500, 0.6790, 0.7978)  2 Sn 2.86, 5 Pm 2.88-3.15

## Properties
* total magnetic moment: 0.00 μB/cell
* formation energy: -0.74 eV/atom
* N(E_F): 6.12 states/eV/cell
* space-group type: No. 11

First-principles (PBE) data for a relaxed AgAsBr crystal, as listed in Alexandria via LeMat-Bulk.

Cell: 6.3407 6.3407 6.3407 Å, 147.46 142.49 50.48°
With the nearest neighbours (Å) after each atom.
Fractional positions:
As (0.4371, 0.4371, 0.0000)  1 Br 2.41
Br (0.6474, 0.6474, 0.0000)  1 As 2.41
Ag (0.9155, 0.9155, 0.0000)  4 As 2.72

## Properties
* total magnetic moment: 0.00 μB/cell
* energy above the lowest structure with this stoichiometry: 85.1 meV per atom
* N(E_F): 0.78 states/eV/cell
* space-group type: No. 44
* energy relative to the elements, uncorrected: 27 meV per atom

What did the first record say?
First-principles (PBE) data for a relaxed Pm2Nd crystal, as listed in Alexandria via LeMat-Bulk.

Cell: 6.7169 6.7169 6.7169 Å, 60.00 60.00 60.00°
With the nearest neighbours (Å) after each atom.
Fractional positions:
Nd (0.0000, 0.0000, 0.0000)  12 Pm 3.94, 4 Nd 4.11
Nd (0.2500, 0.2500, 0.2500)  12 Pm 3.94, 4 Nd 4.11
Pm (0.1250, 0.6250, 0.6250)  6 Pm 3.36
Pm (0.6250, 0.1250, 0.6250)  6 Pm 3.36
Pm (0.6250, 0.6250, 0.6250)  6 Pm 3.36
Pm (0.6250, 0.6250, 0.1250)  6 Pm 3.36

## Properties
* total magnetic moment: 0.00 μB/cell
* formation energy: 0.26 eV/atom
* energy above the lowest structure with this stoichiometry: 245.2 meV per atom
* N(E_F): 10.96 states/eV/cell
* space-group type: No. 227

Number 2 is which compound? Nd3Dy2